Computed, not measured: Pt8C after structural relaxation at the PBE-GGA level of DFT.

V = 15.1 Å³ per atom
calculated total energy = -5.829 eV per atom
symmetry = I4/mmm
magnetization = 0.00 μB/cell

Cell lengths 6.2079, 6.2079, 6.2079 Å; angles 95.71, 95.71, 143.21 degrees
With the nearest neighbours (Å) after each atom.
Sites, in units of the cell vectors:
Pt 0.3374 0.6626 0.0000  10 Pt 2.71-2.84, 2 C 2.74
Pt 0.0000 0.3275 0.3275  1 C 2.73, 11 Pt 2.75-2.87
Pt 0.3374 0.3374 0.6747  10 Pt 2.71-2.84, 2 C 2.74
Pt 0.3275 0.0000 0.3275  1 C 2.73, 11 Pt 2.75-2.87
Pt 0.6626 0.3374 0.0000  10 Pt 2.71-2.84, 2 C 2.74
Pt 0.6626 0.6626 0.3253  10 Pt 2.71-2.84, 2 C 2.74
Pt 0.6725 0.0000 0.6725  1 C 2.73, 11 Pt 2.75-2.87
Pt 0.0000 0.6725 0.6725  1 C 2.73, 11 Pt 2.75-2.87
C 0.0000 0.0000 0.0000  12 Pt 2.73-2.74

---

Computed, not measured: ZnTe2Rh after structural relaxation at the PBE-GGA level of DFT.

V = 22.5 Å³ per atom
calculated total energy = -3.721 eV per atom
symmetry = Imm2
magnetization = 0.00 μB/cell
formation energy without anion corrections = 0.006 eV per atom

Cell lengths 6.7267, 6.7267, 6.7267 Å; angles 153.08, 139.02, 49.71 degrees
With the nearest neighbours (Å) after each atom.
Sites, in units of the cell vectors:
Zn 0.4267 0.4267 0.0000  2 Rh 2.78, 2 Te 2.98
Te 0.7768 0.2768 0.5000  4 Rh 2.87, 2 Zn 2.98, 2 Te 3.13
Te 0.0580 0.0580 0.0000  2 Rh 2.70
Rh 0.2385 0.7385 0.5000  6 Te 2.70-2.87, 2 Zn 2.78